! PBE DyHoGa2Cu2, optimized geometry; values from VASP
! E_tot   -4.290 eV/atom
! Crystal system   hexagonal
! Density   8.6 g/cm3
&SYSTEM
  ibrav = 0, nat = 6, ntyp = 4
/
ATOMIC_SPECIES
Cu 63.55 Cu.upf
Dy 162.50 Dy.upf
Ga 69.72 Ga.upf
Ho 164.93 Ho.upf
CELL_PARAMETERS angstrom
-1.920 -1.515 -3.604
4.276 -0.576 0.596
-1.269 -6.077 3.231
ATOMIC_POSITIONS angstrom
Cu -0.181 -2.765 -1.373
Cu -0.797 -5.716 0.196
Dy 0.000 0.000 0.000
Ga 1.913 -2.314 -0.046
Ga 1.239 -5.542 1.670
Ho -0.635 -3.039 1.616